Record 1
Al2IrSe: relaxed, PBE.

Raw total energy   -21.29 eV for the cell shown
Space-group type   Imm2 (44)
Formation energy from raw total energies   -366 meV/atom

Lattice parameters (Å, degrees): 7.9908 7.9908 7.9908 159.08 153.41 34.07
Last column: nearest neighbours and their distance in Å.
Fractional coordinates of all 4 atoms:
Ir: 0.5480 0.5480 0.0000  6 Al 2.48-2.52
Al: 0.9942 0.9942 0.0000  4 Ir 2.48
Al: 0.6827 0.1827 0.5000  2 Ir 2.52, 4 Se 2.73
Se: 0.2750 0.7750 0.5000  4 Al 2.73, 2 Se 2.90

=====

Record 2
Ac7Cd2Ir2: relaxed, PBE.

Raw total energy   -52.00 eV for the cell shown
Space-group type   Cmmm (65)
Formation enthalpy at 0 K   -335 meV per atom

Lattice parameters (Å, degrees): 7.4596 7.7311 7.4596 90.00 108.46 90.00
Last column: nearest neighbours and their distance in Å.
Fractional coordinates of all 11 atoms:
Ac: 0.9998 0.2507 0.5003  2 Ir 2.96
Ac: 0.5003 0.7493 0.9998  2 Ir 2.96
Ac: 0.0002 0.7493 0.4997  2 Ir 2.96
Ac: 0.4997 0.2507 0.0002  2 Ir 2.96
Ac: 0.0000 0.0000 0.0000  2 Ir 3.53
Ac: 0.5002 0.7573 0.4998  2 Ir 3.14-3.15
Ac: 0.4998 0.2427 0.5002  2 Ir 3.14-3.15
Cd: 0.8336 0.5000 0.8336  1 Cd 2.90
Cd: 0.1664 0.5000 0.1664  1 Cd 2.90
Ir: 0.7083 0.0000 0.2917  6 Ac 2.96-3.15
Ir: 0.2917 0.0000 0.7083  6 Ac 2.96-3.15

=====

Please write out number 1 again, unchanged.
Al2IrSe: relaxed, PBE.

Raw total energy   -21.29 eV for the cell shown
Space-group type   Imm2 (44)
Formation energy from raw total energies   -366 meV/atom

Lattice parameters (Å, degrees): 7.9908 7.9908 7.9908 159.08 153.41 34.07
Last column: nearest neighbours and their distance in Å.
Fractional coordinates of all 4 atoms:
Ir: 0.5480 0.5480 0.0000  6 Al 2.48-2.52
Al: 0.9942 0.9942 0.0000  4 Ir 2.48
Al: 0.6827 0.1827 0.5000  2 Ir 2.52, 4 Se 2.73
Se: 0.2750 0.7750 0.5000  4 Al 2.73, 2 Se 2.90